Record 1
KPuBr5 | PBE | relaxed

Calculated values
- Formation energy from raw total energies: -1408 meV per atom
- V: 577.3 Å³ per cell
- E: -4.81 eV per atom
- Density: 3.93 g/cm³

a b c (Å): 7.786 7.786 11.231
angles (deg): 70.23 70.23 68.26
Fractional positions:
Br (0.068, 0.932, 0.250)
K (0.534, 0.466, 0.750)
Br (0.932, 0.068, 0.750)
Br (0.627, 0.211, 0.504)
Br (0.677, 0.895, 0.120)
Br (0.373, 0.789, 0.496)
Pu (0.000, 0.000, 0.500)
Br (0.105, 0.323, 0.380)
Br (0.895, 0.677, 0.620)
Br (0.211, 0.627, 0.004)
Pu (0.000, 0.000, 0.000)
K (0.466, 0.534, 0.250)
Br (0.323, 0.105, 0.880)
Br (0.789, 0.373, 0.996)



Record 2
K2Pu3Br8 | PBE | relaxed

Calculated values
- Formation energy from raw total energies: -1498 meV per atom
- V: 437.0 Å³ per cell
- E: -6.00 eV per atom
- Density: 5.51 g/cm³

a b c (Å): 5.205 10.474 9.573
angles (deg): 123.15 90.00 90.00
Fractional positions:
Br (0.000, 0.614, 0.227)
Br (0.000, 0.893, 0.785)
K (0.500, 0.263, 0.527)
Pu (0.000, 0.264, 0.000)
Br (0.500, 0.126, 0.778)
K (0.500, 0.737, 0.473)
Pu (0.000, 0.736, 0.000)
Br (0.500, 0.652, 0.778)
Br (0.000, 0.107, 0.215)
Pu (0.500, 0.000, 0.000)
Br (0.500, 0.874, 0.222)
Br (0.500, 0.348, 0.222)
Br (0.000, 0.386, 0.773)